TaSO: optimized geometry, GGA-PBE.

```
12
Lattice="0.000 7.111 7.387 1.991 0.000 7.387 1.991 7.111 0.000" Properties=species:S:1:pos:R:3 pbc="T T T"
Ta 1.991 2.304 5.105
Ta 1.991 2.304 9.669
Ta 1.991 11.918 5.105
Ta 1.991 11.918 9.669
S 1.991 7.111 2.327
S 1.991 2.319 7.387
S 1.991 11.903 7.387
S 1.991 7.111 12.447
O 1.991 4.530 4.596
O 1.991 9.692 4.596
O 1.991 4.530 10.178
O 1.991 9.692 10.178
```

Output
E_form (uncorrected) in eV per atom: -1.52
VASP energy in eV/atom: -8.50
M_tot in μB/cell: 0.00

TaSO2: optimized geometry, GGA-PBE.

```
8
Lattice="0.000 4.308 4.308 4.308 0.000 4.308 4.308 4.308 0.000" Properties=species:S:1:pos:R:3 pbc="T T T"
Ta 1.077 1.077 1.077
Ta 7.540 7.540 7.540
S 3.231 3.231 3.231
S 5.385 5.385 5.385
O 0.000 0.000 0.000
O 2.154 2.154 0.000
O 2.154 0.000 2.154
O 0.000 2.154 2.154
```

Output
E_form (uncorrected) in eV per atom: -1.45
VASP energy in eV/atom: -7.92
M_tot in μB/cell: 2.10

TaS2O: optimized geometry, GGA-PBE.

```
16
Lattice="6.255 0.000 0.000 0.000 4.890 0.000 -5.922 0.000 9.939" Properties=species:S:1:pos:R:3 pbc="T T T"
Ta -1.195 0.043 3.828
Ta -4.157 2.402 8.798
Ta 4.490 2.488 1.142
Ta 1.529 4.847 6.111
S -2.589 3.313 5.433
S 0.373 4.022 0.464
S -0.553 0.968 6.049
S 2.408 1.477 1.080
S -2.075 3.413 8.859
S 0.887 3.922 3.890
S -0.040 0.868 9.476
S 2.922 1.577 4.506
O -3.878 1.061 7.493
O -0.917 1.384 2.523
O 1.250 3.506 7.416
O 4.211 3.829 2.446
```

Output
E_form (uncorrected) in eV per atom: -1.33
VASP energy in eV/atom: -7.60
M_tot in μB/cell: 0.00

TaS2O2: optimized geometry, GGA-PBE.

```
10
Lattice="2.914 0.000 0.000 0.000 2.914 0.000 0.000 0.000 18.593" Properties=species:S:1:pos:R:3 pbc="T T T"
Ta 0.000 0.000 0.000
Ta 1.457 1.457 9.296
S 0.000 0.000 7.752
S 0.000 0.000 10.840
S 1.457 1.457 1.544
S 1.457 1.457 17.049
O 0.000 1.457 4.648
O 0.000 1.457 13.945
O 1.457 0.000 4.648
O 1.457 0.000 13.945
```

Output
E_form (uncorrected) in eV per atom: 0.37
VASP energy in eV/atom: -5.63
M_tot in μB/cell: 0.00

Ta3SO: optimized geometry, GGA-PBE.

```
5
Lattice="4.232 0.000 0.000 0.000 4.232 0.000 0.000 0.000 4.232" Properties=species:S:1:pos:R:3 pbc="T T T"
Ta 0.000 0.000 2.116
Ta 0.000 2.116 0.000
Ta 2.116 0.000 0.000
S 2.116 2.116 2.116
O 0.000 0.000 0.000
```

Output
E_form (uncorrected) in eV per atom: -0.19
VASP energy in eV/atom: -9.12
M_tot in μB/cell: 0.00

TaS3O: optimized geometry, GGA-PBE.

```
5
Lattice="4.144 0.000 0.000 0.000 4.144 0.000 0.000 0.000 4.144" Properties=species:S:1:pos:R:3 pbc="T T T"
Ta 0.000 0.000 0.000
S 0.000 2.072 2.072
S 2.072 0.000 2.072
S 2.072 2.072 0.000
O 2.072 2.072 2.072
```

Output
E_form (uncorrected) in eV per atom: 0.65
VASP energy in eV/atom: -5.19
M_tot in μB/cell: 0.00

TaS2O: optimized geometry, GGA-PBE.

```
12
Lattice="3.377 0.000 0.000 -1.688 2.924 0.000 0.000 0.000 19.959" Properties=species:S:1:pos:R:3 pbc="T T T"
Ta 0.000 0.000 0.000
Ta 0.000 1.949 13.306
Ta 1.688 0.975 6.653
S 0.000 0.000 8.182
S 0.000 0.000 11.777
S 0.000 1.949 1.529
S 0.000 1.949 5.124
S 1.688 0.975 14.835
S 1.688 0.975 18.430
O 0.000 0.000 9.980
O 0.000 1.949 3.327
O 1.688 0.975 16.633
```

Output
E_form (uncorrected) in eV per atom: -0.55
VASP energy in eV/atom: -6.81
M_tot in μB/cell: 0.00

TaSO2: optimized geometry, GGA-PBE.

```
12
Lattice="2.945 0.000 0.000 -1.472 2.550 0.000 0.000 0.000 23.838" Properties=species:S:1:pos:R:3 pbc="T T T"
Ta 0.000 0.000 0.000
Ta 0.000 1.700 15.892
Ta 1.472 0.850 7.946
S 0.000 0.000 11.919
S 0.000 1.700 3.973
S 1.472 0.850 19.865
O 0.000 0.000 9.105
O 0.000 0.000 14.733
O 0.000 1.700 1.159
O 0.000 1.700 6.787
O 1.472 0.850 17.051
O 1.472 0.850 22.679
```

Output
E_form (uncorrected) in eV per atom: -1.27
VASP energy in eV/atom: -7.75
M_tot in μB/cell: 0.00

TaS2O: optimized geometry, GGA-PBE.

```
16
Lattice="5.557 0.000 0.000 0.000 5.557 0.000 0.000 0.000 9.841" Properties=species:S:1:pos:R:3 pbc="T T T"
Ta 0.000 0.000 0.000
Ta 0.000 2.779 2.460
Ta 2.779 0.000 7.381
Ta 2.779 2.779 4.920
S 1.383 1.389 6.150
S 1.389 4.162 8.611
S 1.389 4.174 3.690
S 1.395 1.389 1.230
S 4.162 4.168 1.230
S 4.168 1.383 3.690
S 4.168 1.395 8.611
S 4.174 4.168 6.150
O 0.000 0.000 4.920
O 0.000 2.779 7.381
O 2.779 0.000 2.460
O 2.779 2.779 0.000
```

Output
E_form (uncorrected) in eV per atom: 0.04
VASP energy in eV/atom: -6.22
M_tot in μB/cell: 1.73

TaSO2: optimized geometry, GGA-PBE.

```
12
Lattice="3.361 0.000 0.000 -1.680 2.911 0.000 0.000 0.000 17.113" Properties=species:S:1:pos:R:3 pbc="T T T"
Ta 0.000 0.000 0.000
Ta 0.000 1.940 11.409
Ta 1.681 0.970 5.704
S 0.000 0.000 8.557
S 0.000 1.940 2.852
S 1.681 0.970 14.261
O 0.000 0.000 1.968
O 0.000 0.000 15.145
O 0.000 1.940 9.441
O 0.000 1.940 13.377
O 1.681 0.970 3.737
O 1.681 0.970 7.672
```

Output
E_form (uncorrected) in eV per atom: 0.16
VASP energy in eV/atom: -6.32
M_tot in μB/cell: 0.00

TaSO3: optimized geometry, GGA-PBE.

```
5
Lattice="3.993 0.000 0.000 0.000 3.993 0.000 0.000 0.000 3.993" Properties=species:S:1:pos:R:3 pbc="T T T"
Ta 0.000 0.000 0.000
S 1.996 1.996 1.996
O 0.000 0.000 1.996
O 0.000 1.996 0.000
O 1.996 0.000 0.000
```

Output
E_form (uncorrected) in eV per atom: -1.31
VASP energy in eV/atom: -7.48
M_tot in μB/cell: 2.99

TaSO: optimized geometry, GGA-PBE.

```
3
Lattice="3.202 0.000 0.000 -1.601 2.773 0.000 0.000 0.000 6.181" Properties=species:S:1:pos:R:3 pbc="T T T"
Ta 0.000 0.000 0.000
S 1.601 0.924 1.610
O 0.000 1.849 5.142
```

Output
E_form (uncorrected) in eV per atom: -1.61
VASP energy in eV/atom: -8.59
M_tot in μB/cell: 0.00

> What is the M_tot in the twelfth record?

0.00 μB/cell